# PBE MgMnRh2C, optimized geometry
data_MgMnRh2C
_space_group_name_H-M_alt 'P 1'
_space_group_IT_number 1
_space_group_name_Hall 'P 1'
_cell_length_a 4.1134
_cell_length_b 4.1134
_cell_length_c 3.9007
_cell_angle_alpha 90.00
_cell_angle_beta 90.00
_cell_angle_gamma 90.00
loop_
_atom_site_label
_atom_site_type_symbol
_atom_site_fract_x
_atom_site_fract_y
_atom_site_fract_z
Mg1 Mg 0.0000 0.0000 0.0000
Mn1 Mn 0.5000 0.5000 0.0000
Rh1 Rh 0.0000 0.5000 0.5000
Rh2 Rh 0.5000 0.0000 0.5000
C1 C 0.5000 0.5000 0.5000
# E_form in eV/atom: -0.196
# Space-group type: P4/mmm, No. 123


# PBE CsTl2BiCl6, optimized geometry
data_CsTl2BiCl6
_space_group_name_H-M_alt 'P 1'
_space_group_IT_number 1
_space_group_name_Hall 'P 1'
_cell_length_a 8.3561
_cell_length_b 8.3561
_cell_length_c 8.3561
_cell_angle_alpha 57.58
_cell_angle_beta 57.58
_cell_angle_gamma 57.58
loop_
_atom_site_label
_atom_site_type_symbol
_atom_site_fract_x
_atom_site_fract_y
_atom_site_fract_z
Cs1 Cs 0.0000 0.0000 0.0000
Tl1 Tl 0.2817 0.2817 0.2817
Tl2 Tl 0.7951 0.7951 0.7951
Bi1 Bi 0.4852 0.4852 0.4852
Cl1 Cl 0.1300 0.6557 0.4177
Cl2 Cl 0.2525 0.5766 0.8341
Cl3 Cl 0.4177 0.1300 0.6557
Cl4 Cl 0.5766 0.8341 0.2525
Cl5 Cl 0.6557 0.4177 0.1300
Cl6 Cl 0.8341 0.2525 0.5766
# Space-group type: R3, No. 146
# Raw formation energy in eV/atom: -1.235


# PBE Sc3Sb, optimized geometry
data_Sc3Sb
_space_group_name_H-M_alt 'P 1'
_space_group_IT_number 1
_space_group_name_Hall 'P 1'
_cell_length_a 5.0110
_cell_length_b 5.0110
_cell_length_c 5.0110
_cell_angle_alpha 60.00
_cell_angle_beta 60.00
_cell_angle_gamma 60.00
loop_
_atom_site_label
_atom_site_type_symbol
_atom_site_fract_x
_atom_site_fract_y
_atom_site_fract_z
Sc1 Sc 0.0000 0.0000 0.0000
Sc2 Sc 0.2500 0.2500 0.2500
Sc3 Sc 0.7500 0.7500 0.7500
Sb1 Sb 0.5000 0.5000 0.5000
# Space-group type: Fm-3m, No. 225
# Raw formation energy in eV/atom: -0.281


# PBE H4PbBr3N, optimized geometry
data_H4PbBr3N
_space_group_name_H-M_alt 'P 1'
_space_group_IT_number 1
_space_group_name_Hall 'P 1'
_cell_length_a 9.9492
_cell_length_b 4.6298
_cell_length_c 17.4933
_cell_angle_alpha 90.00
_cell_angle_beta 90.00
_cell_angle_gamma 90.00
loop_
_atom_site_label
_atom_site_type_symbol
_atom_site_fract_x
_atom_site_fract_y
_atom_site_fract_z
H1 H 0.0245 0.2500 0.1493
H2 H 0.0584 0.2500 0.2441
H3 H 0.0780 0.5693 0.7868
H4 H 0.0780 0.9307 0.7868
H5 H 0.4220 0.0693 0.2868
H6 H 0.4220 0.4307 0.2868
H7 H 0.4416 0.7500 0.7441
H8 H 0.4755 0.7500 0.6493
H9 H 0.5245 0.2500 0.3507
H10 H 0.5584 0.2500 0.2559
H11 H 0.5780 0.5693 0.7132
H12 H 0.5780 0.9307 0.7132
H13 H 0.9220 0.0693 0.2132
H14 H 0.9220 0.4307 0.2132
H15 H 0.9416 0.7500 0.7559
H16 H 0.9755 0.7500 0.8507
Pb1 Pb 0.1589 0.2500 0.5705
Pb2 Pb 0.3411 0.7500 0.0705
Pb3 Pb 0.6589 0.2500 0.9295
Pb4 Pb 0.8411 0.7500 0.4295
Br1 Br 0.0491 0.2500 0.4012
Br2 Br 0.1519 0.2500 0.0361
Br3 Br 0.2378 0.2500 0.7356
Br4 Br 0.2622 0.7500 0.2356
Br5 Br 0.3481 0.7500 0.5361
Br6 Br 0.4509 0.7500 0.9012
Br7 Br 0.5491 0.2500 0.0988
Br8 Br 0.6519 0.2500 0.4639
Br9 Br 0.7378 0.2500 0.7644
Br10 Br 0.7622 0.7500 0.2644
Br11 Br 0.8481 0.7500 0.9639
Br12 Br 0.9509 0.7500 0.5988
N1 N 0.0176 0.7500 0.7960
N2 N 0.4824 0.2500 0.2960
N3 N 0.5176 0.7500 0.7040
N4 N 0.9824 0.2500 0.2040
# DFT total energy in eV per atom: -4.073
# Space-group type: Pnma, No. 62


# PBE Ce2DyAuC, optimized geometry
data_Ce2DyAuC
_space_group_name_H-M_alt 'P 1'
_space_group_IT_number 1
_space_group_name_Hall 'P 1'
_cell_length_a 4.8774
_cell_length_b 4.8774
_cell_length_c 4.8875
_cell_angle_alpha 90.00
_cell_angle_beta 90.00
_cell_angle_gamma 90.00
loop_
_atom_site_label
_atom_site_type_symbol
_atom_site_fract_x
_atom_site_fract_y
_atom_site_fract_z
Ce1 Ce 0.0000 0.5000 0.0000
Ce2 Ce 0.5000 0.0000 0.0000
Dy1 Dy 0.0000 0.0000 0.5000
Au1 Au 0.5000 0.5000 0.5000
C1 C 0.0000 0.0000 0.0000
# E_form in eV/atom: -0.305
# Space-group type: P4/mmm, No. 123


# PBE Zn2HgIr, optimized geometry
data_Zn2HgIr
_space_group_name_H-M_alt 'P 1'
_space_group_IT_number 1
_space_group_name_Hall 'P 1'
_cell_length_a 9.4479
_cell_length_b 9.4479
_cell_length_c 9.4479
_cell_angle_alpha 155.49
_cell_angle_beta 155.49
_cell_angle_gamma 34.94
loop_
_atom_site_label
_atom_site_type_symbol
_atom_site_fract_x
_atom_site_fract_y
_atom_site_fract_z
Zn1 Zn 0.0678 0.6250 0.9428
Zn2 Zn 0.3750 0.3178 0.4428
Zn3 Zn 0.6822 0.1250 0.0572
Zn4 Zn 0.8750 0.9322 0.5572
Hg1 Hg 0.2500 0.7500 0.5000
Hg2 Hg 0.5000 0.5000 0.0000
Ir1 Ir 0.0000 0.0000 0.0000
Ir2 Ir 0.7500 0.2500 0.5000
# E_form in eV/atom: 0.256
# Space-group type: I-42d, No. 122


# PBE FeAu2Se, optimized geometry
data_FeAu2Se
_space_group_name_H-M_alt 'P 1'
_space_group_IT_number 1
_space_group_name_Hall 'P 1'
_cell_length_a 6.6058
_cell_length_b 6.6058
_cell_length_c 6.6058
_cell_angle_alpha 155.07
_cell_angle_beta 140.85
_cell_angle_gamma 46.98
loop_
_atom_site_label
_atom_site_type_symbol
_atom_site_fract_x
_atom_site_fract_y
_atom_site_fract_z
Fe1 Fe 0.0000 0.0000 0.0000
Au1 Au 0.4416 0.4416 0.0000
Au2 Au 0.7985 0.2985 0.5000
Se1 Se 0.1557 0.6557 0.5000
# Space-group type: Imm2, No. 44
# Raw formation energy in eV/atom: 0.148


# PBE Cu2Pd3W, optimized geometry
data_Cu2Pd3W
_space_group_name_H-M_alt 'P 1'
_space_group_IT_number 1
_space_group_name_Hall 'P 1'
_cell_length_a 2.7991
_cell_length_b 2.7991
_cell_length_c 10.9928
_cell_angle_alpha 90.00
_cell_angle_beta 90.00
_cell_angle_gamma 90.00
loop_
_atom_site_label
_atom_site_type_symbol
_atom_site_fract_x
_atom_site_fract_y
_atom_site_fract_z
Cu1 Cu 0.0000 0.0000 0.1582
Cu2 Cu 0.0000 0.0000 0.8418
Pd1 Pd 0.5000 0.5000 0.0000
Pd2 Pd 0.5000 0.5000 0.3244
Pd3 Pd 0.5000 0.5000 0.6756
W1 W 0.0000 0.0000 0.5000
# E_form in eV/atom: -0.074
# Space-group type: P4/mmm, No. 123


# PBE Li2CaCdPd, optimized geometry
data_Li2CaCdPd
_space_group_name_H-M_alt 'P 1'
_space_group_IT_number 1
_space_group_name_Hall 'P 1'
_cell_length_a 4.7663
_cell_length_b 4.7663
_cell_length_c 5.2649
_cell_angle_alpha 90.00
_cell_angle_beta 90.00
_cell_angle_gamma 90.00
loop_
_atom_site_label
_atom_site_type_symbol
_atom_site_fract_x
_atom_site_fract_y
_atom_site_fract_z
Li1 Li 0.0000 0.5000 0.0000
Li2 Li 0.5000 0.0000 0.0000
Ca1 Ca 0.0000 0.0000 0.5000
Cd1 Cd 0.5000 0.5000 0.5000
Pd1 Pd 0.5000 0.5000 0.0000
# E_form in eV/atom: -0.201
# Space-group type: P4/mmm, No. 123


# PBE LaBePb2Cl, optimized geometry
data_LaBePb2Cl
_space_group_name_H-M_alt 'P 1'
_space_group_IT_number 1
_space_group_name_Hall 'P 1'
_cell_length_a 6.3895
_cell_length_b 6.3895
_cell_length_c 5.3688
_cell_angle_alpha 90.00
_cell_angle_beta 90.00
_cell_angle_gamma 90.00
loop_
_atom_site_label
_atom_site_type_symbol
_atom_site_fract_x
_atom_site_fract_y
_atom_site_fract_z
La1 La 0.0000 0.0000 0.0000
Be1 Be 0.5000 0.5000 0.5000
Pb1 Pb 0.0000 0.5000 0.0000
Pb2 Pb 0.5000 0.0000 0.0000
Cl1 Cl 0.0000 0.0000 0.5000
# Space-group type: P4/mmm, No. 123
# Raw formation energy in eV/atom: 0.516


# PBE Y2Cu3Ge4Pd, optimized geometry
data_Y2Cu3Ge4Pd
_space_group_name_H-M_alt 'P 1'
_space_group_IT_number 1
_space_group_name_Hall 'P 1'
_cell_length_a 4.1469
_cell_length_b 4.1469
_cell_length_c 10.2298
_cell_angle_alpha 90.00
_cell_angle_beta 90.00
_cell_angle_gamma 90.00
loop_
_atom_site_label
_atom_site_type_symbol
_atom_site_fract_x
_atom_site_fract_y
_atom_site_fract_z
Y1 Y 0.0000 0.5000 0.2496
Y2 Y 0.5000 0.0000 0.7504
Cu1 Cu 0.0000 0.0000 0.0000
Cu2 Cu 0.0000 0.5000 0.6323
Cu3 Cu 0.5000 0.0000 0.3677
Ge1 Ge 0.0000 0.0000 0.5000
Ge2 Ge 0.0000 0.5000 0.8628
Ge3 Ge 0.5000 0.0000 0.1372
Ge4 Ge 0.5000 0.5000 0.5000
Pd1 Pd 0.5000 0.5000 0.0000
# E_form in eV/atom: -0.545
# Space-group type: P-4m2, No. 115


# PBE KCa2ScBr8, optimized geometry
data_KCa2ScBr8
_space_group_name_H-M_alt 'P 1'
_space_group_IT_number 1
_space_group_name_Hall 'P 1'
_cell_length_a 6.5887
_cell_length_b 8.9693
_cell_length_c 6.9267
_cell_angle_alpha 90.00
_cell_angle_beta 90.60
_cell_angle_gamma 90.00
loop_
_atom_site_label
_atom_site_type_symbol
_atom_site_fract_x
_atom_site_fract_y
_atom_site_fract_z
K1 K 0.0000 0.0000 0.0000
Ca1 Ca 0.5000 0.2535 0.5000
Ca2 Ca 0.5000 0.7465 0.5000
Sc1 Sc 0.0000 0.5000 0.0000
Br1 Br 0.2311 0.2917 0.1604
Br2 Br 0.2311 0.7083 0.1604
Br3 Br 0.2516 0.5000 0.6797
Br4 Br 0.2680 0.0000 0.6267
Br5 Br 0.7320 0.0000 0.3733
Br6 Br 0.7484 0.5000 0.3203
Br7 Br 0.7689 0.2917 0.8396
Br8 Br 0.7689 0.7083 0.8396
# Space-group type: P2/m, No. 10
# Raw formation energy in eV/atom: -1.833


# PBE Li2ZnHPt, optimized geometry
data_Li2ZnHPt
_space_group_name_H-M_alt 'P 1'
_space_group_IT_number 1
_space_group_name_Hall 'P 1'
_cell_length_a 3.7698
_cell_length_b 3.7698
_cell_length_c 4.0126
_cell_angle_alpha 90.00
_cell_angle_beta 90.00
_cell_angle_gamma 90.00
loop_
_atom_site_label
_atom_site_type_symbol
_atom_site_fract_x
_atom_site_fract_y
_atom_site_fract_z
Li1 Li 0.0000 0.5000 0.0000
Li2 Li 0.5000 0.0000 0.0000
Zn1 Zn 0.0000 0.0000 0.5000
H1 H 0.0000 0.0000 0.0000
Pt1 Pt 0.5000 0.5000 0.5000
# DFT total energy in eV per atom: -3.271
# Space-group type: P4/mmm, No. 123


# PBE CdIrSe2, optimized geometry
data_CdIrSe2
_space_group_name_H-M_alt 'P 1'
_space_group_IT_number 1
_space_group_name_Hall 'P 1'
_cell_length_a 7.2242
_cell_length_b 7.2242
_cell_length_c 7.2242
_cell_angle_alpha 131.25
_cell_angle_beta 131.25
_cell_angle_gamma 71.42
loop_
_atom_site_label
_atom_site_type_symbol
_atom_site_fract_x
_atom_site_fract_y
_atom_site_fract_z
Cd1 Cd 0.0000 0.0000 0.0000
Cd2 Cd 0.7500 0.2500 0.5000
Ir1 Ir 0.2500 0.7500 0.5000
Ir2 Ir 0.5000 0.5000 0.0000
Se1 Se 0.1728 0.6250 0.0478
Se2 Se 0.3750 0.4228 0.5478
Se3 Se 0.5772 0.1250 0.9522
Se4 Se 0.8750 0.8272 0.4522
# Space-group type: I-42d, No. 122
# Raw formation energy in eV/atom: -0.023


# PBE Rb2PrAlO4, optimized geometry
data_Rb2PrAlO4
_space_group_name_H-M_alt 'P 1'
_space_group_IT_number 1
_space_group_name_Hall 'P 1'
_cell_length_a 6.9976
_cell_length_b 7.5605
_cell_length_c 6.1268
_cell_angle_alpha 90.00
_cell_angle_beta 90.00
_cell_angle_gamma 90.00
loop_
_atom_site_label
_atom_site_type_symbol
_atom_site_fract_x
_atom_site_fract_y
_atom_site_fract_z
Rb1 Rb 0.2445 0.1581 0.0000
Rb2 Rb 0.2555 0.8419 0.5000
Rb3 Rb 0.7445 0.8419 0.5000
Rb4 Rb 0.7555 0.1581 0.0000
Pr1 Pr 0.0000 0.3822 0.4826
Pr2 Pr 0.5000 0.6178 0.9826
Al1 Al 0.0000 0.6627 0.9793
Al2 Al 0.5000 0.3373 0.4793
O1 O 0.0000 0.4562 0.1252
O2 O 0.0000 0.6231 0.6913
O3 O 0.2206 0.7804 0.0390
O4 O 0.2794 0.2196 0.5390
O5 O 0.5000 0.3769 0.1913
O6 O 0.5000 0.5438 0.6252
O7 O 0.7206 0.2196 0.5390
O8 O 0.7794 0.7804 0.0390
# Space-group type: Pmn2_1, No. 31
# Raw formation energy in eV/atom: -2.413


# PBE CaNdGa3O7, optimized geometry
data_CaNdGa3O7
_space_group_name_H-M_alt 'P 1'
_space_group_IT_number 1
_space_group_name_Hall 'P 1'
_cell_length_a 5.2974
_cell_length_b 7.9588
_cell_length_c 7.9958
_cell_angle_alpha 90.00
_cell_angle_beta 90.53
_cell_angle_gamma 90.00
loop_
_atom_site_label
_atom_site_type_symbol
_atom_site_fract_x
_atom_site_fract_y
_atom_site_fract_z
Ca1 Ca 0.0292 0.0000 0.0760
Ca2 Ca 0.9708 0.5000 0.9240
Nd1 Nd 0.0006 0.6868 0.4060
Nd2 Nd 0.9994 0.1868 0.5940
Ga1 Ga 0.4636 0.4879 0.6092
Ga2 Ga 0.4716 0.2016 0.8967
Ga3 Ga 0.4919 0.3441 0.2608
Ga4 Ga 0.5081 0.8441 0.7392
Ga5 Ga 0.5284 0.7016 0.1033
Ga6 Ga 0.5364 0.9879 0.3908
O1 O 0.1860 0.7012 0.1203
O2 O 0.1934 0.9822 0.3953
O3 O 0.2642 0.4176 0.4213
O4 O 0.2951 0.0112 0.8174
O5 O 0.2969 0.3623 0.7695
O6 O 0.3027 0.6948 0.6246
O7 O 0.3108 0.2303 0.0995
O8 O 0.6892 0.7303 0.9005
O9 O 0.6973 0.1948 0.3754
O10 O 0.7031 0.8623 0.2305
O11 O 0.7049 0.5112 0.1826
O12 O 0.7358 0.9176 0.5787
O13 O 0.8066 0.4822 0.6047
O14 O 0.8140 0.2012 0.8797
# Space-group type: P2_1, No. 4
# Raw formation energy in eV/atom: -2.416


# PBE CdGe2Se4, optimized geometry
data_CdGe2Se4
_space_group_name_H-M_alt 'P 1'
_space_group_IT_number 1
_space_group_name_Hall 'P 1'
_cell_length_a 6.3169
_cell_length_b 6.3169
_cell_length_c 6.3169
_cell_angle_alpha 105.64
_cell_angle_beta 105.64
_cell_angle_gamma 117.44
loop_
_atom_site_label
_atom_site_type_symbol
_atom_site_fract_x
_atom_site_fract_y
_atom_site_fract_z
Cd1 Cd 0.0000 0.0000 0.0000
Ge1 Ge 0.2500 0.7500 0.5000
Ge2 Ge 0.7500 0.2500 0.5000
Se1 Se 0.1809 0.3145 0.4955
Se2 Se 0.3145 0.8191 0.1336
Se3 Se 0.6855 0.1809 0.8664
Se4 Se 0.8191 0.6855 0.5045
# Space-group type: I4/m, No. 87
# Raw formation energy in eV/atom: -0.192


# PBE CaNi2Cl, optimized geometry
data_CaNi2Cl
_space_group_name_H-M_alt 'P 1'
_space_group_IT_number 1
_space_group_name_Hall 'P 1'
_cell_length_a 3.8472
_cell_length_b 3.8472
_cell_length_c 5.3131
_cell_angle_alpha 90.00
_cell_angle_beta 90.00
_cell_angle_gamma 90.00
loop_
_atom_site_label
_atom_site_type_symbol
_atom_site_fract_x
_atom_site_fract_y
_atom_site_fract_z
Ca1 Ca 0.0000 0.0000 0.0000
Ni1 Ni 0.5000 0.5000 0.2142
Ni2 Ni 0.5000 0.5000 0.7858
Cl1 Cl 0.0000 0.0000 0.5000
# Space-group type: P4/mmm, No. 123
# Raw formation energy in eV/atom: 0.035


# PBE KTbCu2Cl8, optimized geometry
data_KTbCu2Cl8
_space_group_name_H-M_alt 'P 1'
_space_group_IT_number 1
_space_group_name_Hall 'P 1'
_cell_length_a 8.5320
_cell_length_b 8.5320
_cell_length_c 8.5320
_cell_angle_alpha 135.39
_cell_angle_beta 135.39
_cell_angle_gamma 64.93
loop_
_atom_site_label
_atom_site_type_symbol
_atom_site_fract_x
_atom_site_fract_y
_atom_site_fract_z
K1 K 0.0000 0.0000 0.0000
Tb1 Tb 0.7500 0.2500 0.5000
Cu1 Cu 0.2500 0.7500 0.5000
Cu2 Cu 0.5000 0.5000 0.0000
Cl1 Cl 0.0200 0.9657 0.6082
Cl2 Cl 0.0343 0.6426 0.0543
Cl3 Cl 0.1451 0.2866 0.6020
Cl4 Cl 0.3574 0.4118 0.3918
Cl5 Cl 0.4569 0.8549 0.1416
Cl6 Cl 0.5882 0.9800 0.9457
Cl7 Cl 0.6846 0.5431 0.3980
Cl8 Cl 0.7134 0.3154 0.8584
# Space-group type: I-4, No. 82
# Raw formation energy in eV/atom: -1.249


# PBE LuCoAgSn, optimized geometry
data_LuCoAgSn
_space_group_name_H-M_alt 'P 1'
_space_group_IT_number 1
_space_group_name_Hall 'P 1'
_cell_length_a 4.7042
_cell_length_b 4.7042
_cell_length_c 4.7042
_cell_angle_alpha 60.00
_cell_angle_beta 60.00
_cell_angle_gamma 60.00
loop_
_atom_site_label
_atom_site_type_symbol
_atom_site_fract_x
_atom_site_fract_y
_atom_site_fract_z
Lu1 Lu 0.0000 0.0000 0.0000
Co1 Co 0.2500 0.2500 0.2500
Ag1 Ag 0.7500 0.7500 0.7500
Sn1 Sn 0.5000 0.5000 0.5000
# E_form in eV/atom: -0.196
# Space-group type: F-43m, No. 216